# BeHg2Os, relaxed, DFT PBE
# DOS at the Fermi energy = 0.81 states/eV/atom
# E_form = 847 meV/atom
data_BeHg2Os
_chemical_formula_sum 'Be2 Hg4 Os2'
_cell_length_a 3.9660
_cell_length_b 3.9660
_cell_length_c 8.5051
_cell_angle_alpha 90.00
_cell_angle_beta 90.00
_cell_angle_gamma 90.00
_symmetry_space_group_name_H-M 'I -4 m 2'
_symmetry_Int_Tables_number 119
_symmetry_space_group_name_Hall 'I -4 -2'
loop_
_atom_site_label
_atom_site_type_symbol
_atom_site_fract_x
_atom_site_fract_y
_atom_site_fract_z
Be1 Be 0.0000 0.0000 0.0000
Hg1 Hg 0.0000 0.0000 0.5000
Hg2 Hg 0.0000 0.5000 0.7500
Os1 Os 0.0000 0.5000 0.2500